Material: SrAlCo
Method: DFT, PBE
State: relaxed

Values from the calculation:
**ρ**: 4.6 Mg/m³
**Energy of formation**: 58 meV per atom
**E_tot**: -12.4 eV per formula unit
**M_tot**: 0.9 μB per formula unit
**Crystal system**: tetragonal

Lattice parameters (Å, degrees): 6.1334 6.1334 3.3116 74.34 74.34 31.32
Element x y z (fractional)
1 Sr 0.6736 0.6736 0.3264
2 Co 0.3775 0.3775 0.6225
3 Al 0.9489 0.9489 0.0511